(1)
SiW2Se after structural relaxation, computed with PBE.

Cell: 2.9636 2.9636 24.6339 Å, 90.00 90.00 120.00°
Space group R-3m (No. 166, hexagonal axes)
Symmetry-distinct sites (fractional):
Si 0.0000 0.0000 0.0000
W 0.0000 0.0000 0.2504
Se 0.0000 0.0000 0.5000

N(E_F) = 5.04 states/eV/f.u.
Energy relative to the lowest polymorph listed for this composition = 290 meV/atom
Formation energy from raw total energies = 0.40 eV/atom

***

(2)
SiWSe2 after structural relaxation, computed with PBE.

Cell: 4.173 4.173 7.687 Å, 90.00 90.00 90.00°
Space group I-4m2 (No. 119)
Symmetry-distinct sites (fractional):
Si 0.000 0.000 0.000
W 0.000 0.500 0.750
Se 0.000 0.000 0.500
Se 0.000 0.500 0.250

N(E_F) = 3.87 states/eV/f.u.
Formation energy from raw total energies = 0.75 eV/atom

***

(3)
SiW2Se after structural relaxation, computed with PBE.

Cell: 3.209 4.633 9.288 Å, 90.00 90.00 90.00°
Space group Cmm2 (No. 35)
Symmetry-distinct sites (fractional):
Si 0.000 0.000 0.000
W 0.000 0.000 0.543
W 0.000 0.500 0.780
Se 0.000 0.500 0.317

N(E_F) = 2.18 states/eV/f.u.
Energy relative to the lowest polymorph listed for this composition = 252 meV/atom
Formation energy from raw total energies = 0.36 eV/atom

***

(4)
Si4WSe after structural relaxation, computed with PBE.

Cell: 7.121 7.121 7.121 Å, 90.00 90.00 90.00°
Space group F-43m (No. 216)
Symmetry-distinct sites (fractional):
Si 0.124 0.124 0.376
W 0.000 0.000 0.000
Se 0.250 0.250 0.750

N(E_F) = 3.90 states/eV/f.u.
Formation energy from raw total energies = 0.71 eV/atom

***

(5)
SiW2Se after structural relaxation, computed with PBE.

Cell: 8.493 2.937 5.154 Å, 90.00 103.04 90.00°
Space group C2/m (No. 12)
Symmetry-distinct sites (fractional):
Si 0.000 0.000 0.000
W 0.236 0.500 0.242
Se 0.000 0.500 0.500

N(E_F) = 3.36 states/eV/f.u.
Energy relative to the lowest polymorph listed for this composition = 287 meV/atom
Formation energy from raw total energies = 0.39 eV/atom

***

(6)
SiW2Se after structural relaxation, computed with PBE.

Cell: 3.934 3.934 17.623 Å, 90.00 90.00 90.00°
Space group I-42d (No. 122)
Symmetry-distinct sites (fractional):
Si 0.000 0.000 0.000
W 0.248 0.250 0.125
Se 0.000 0.000 0.500

N(E_F) = 2.61 states/eV/f.u.
Energy relative to the lowest polymorph listed for this composition = 557 meV/atom
Formation energy from raw total energies = 0.66 eV/atom

***

(7)
SiWSe2 after structural relaxation, computed with PBE.

Cell: 5.955 5.955 10.907 Å, 90.00 90.00 90.00°
Space group I-42d (No. 122)
Symmetry-distinct sites (fractional):
Si 0.000 0.000 0.000
W 0.000 0.000 0.500
Se 0.229 0.250 0.625

N(E_F) = 0.66 states/eV/f.u.
Formation energy from raw total energies = 0.66 eV/atom

***

(8)
SiW2Se after structural relaxation, computed with PBE.

Cell: 8.801 3.177 4.582 Å, 90.00 106.59 90.00°
Space group Cm (No. 8)
Symmetry-distinct sites (fractional):
Si 0.000 0.000 0.000
W 0.004 0.500 0.514
W 0.264 0.000 0.874
Se 0.259 0.500 0.335

N(E_F) = 1.61 states/eV/f.u.
Energy relative to the lowest polymorph listed for this composition = 45 meV/atom
Formation energy from raw total energies = 0.15 eV/atom